Computed, not measured: an optimized crystal structure of PrGd2Y at the PBE level of DFT.

Unit cell a=5.101 b=5.101 c=5.122 alpha=90.00 beta=90.00 gamma=90.00
Space group P4/mmm (No. 123)
Unique sites:
Pr (0.000, 0.000, 0.000)
Gd (0.000, 0.500, 0.500)
Y (0.500, 0.500, 0.000)

Results
electronic total energy = -0.361 Ha/atom
size of the total moment = 14.646 μB/cell
energy above the lowest structure with this stoichiometry = 0 meV per atom
ΔE_f = 21 meV per atom